First-principles (PBE) data for a relaxed structure of NaAg2BrO, as listed in Alexandria.

a = 3.613 Å, b = 8.241 Å, c = 6.909 Å
α = 90.00°, β = 90.00°, γ = 102.66°
Positions (direct):
O 0.000 0.000 0.500
O 0.000 0.000 0.000
Ag 0.132 0.264 0.964
Ag 0.868 0.736 0.464
Ag 0.132 0.264 0.536
Ag 0.868 0.736 0.036
Na 0.509 0.018 0.250
Na 0.491 0.982 0.750
Br 0.254 0.509 0.250
Br 0.746 0.491 0.750

Computed properties:
Density   5.54 g/cm3
Offset from the most stable computed form   119 meV per atom